(1)
This record from Alexandria describes a relaxed structure of Ac2CeTh3Se6. The functional is PBE.

Unit cell a=18.751 b=4.288 c=8.581 alpha=90.00 beta=104.02 gamma=90.00
Space group C2/m (No. 12)
One atom of each set of equivalent atoms:
Ac1 0.164 0.000 0.333 x4
Ce1 0.000 0.500 0.000 x2
Th1 0.000 0.500 0.500 x2
Th2 0.169 0.000 0.838 x4
Se1 0.005 0.000 0.753 x4
Se2 0.165 0.500 0.075 x4
Se3 0.165 0.500 0.594 x4

Calculated values
Calculated volume   669 Å³/cell
Formation energy from raw total energies   -1.669 eV per atom
DOS(E_F)   25.7 states/eV per cell
DFT total energy   -6.445 eV/atom
Calculated density   8.8 g cm⁻³

***

(2)
This record from Alexandria describes a relaxed structure of LiFe2Pd. The functional is PBE.

Unit cell a=6.840 b=6.840 c=4.852 alpha=90.00 beta=90.00 gamma=90.00
Space group I-42d (No. 122)
One atom of each set of equivalent atoms:
Li1 0.000 0.000 0.000 x4
Fe1 0.249 0.250 0.125 x8
Pd1 0.000 0.000 0.500 x4

Calculated values
Calculated volume   227 Å³/cell
Energy relative to the elements   420 meV per atom
DOS(E_F)   15.2 states/eV per cell
DFT total energy   -5.588 eV/atom
Calculated density   6.6 g cm⁻³

***

(3)
This record from Alexandria describes a relaxed structure of La2BeAg. The functional is PBE.

Unit cell a=3.701 b=3.701 c=7.416 alpha=90.00 beta=90.00 gamma=90.00
Space group P4/mmm (No. 123)
One atom of each set of equivalent atoms:
La1 0.000 0.000 0.222 x2
Be1 0.500 0.500 0.000 x1
Ag1 0.500 0.500 0.500 x1

Calculated values
Calculated volume   102 Å³/cell
Energy relative to the elements   -33 meV per atom
DOS(E_F)   2.9 states/eV per cell
DFT total energy   -4.141 eV/atom
Calculated density   6.5 g cm⁻³

***

Question: What is the DOS(E_F) in the first record?
Answer: 25.7 states/eV per cell